18
Lattice="5.7289 0.0000 0.0000 -2.8645 4.9614 0.0000 0.0000 0.0000 9.3735" Properties=species:S:1:pos:R:3 comment="GGA+U CoAgHgF6, relaxed" volume_a3_per_atom=14.8 dft_energy_ev_per_atom=-3.68 pbc="T T T"
Co 0.0000 3.3076 2.3434
Co 2.8645 1.6538 7.0301
Ag 0.0000 0.0000 0.0000
Ag 0.0000 0.0000 4.6867
Hg 0.0000 3.3076 7.0301
Hg 2.8645 1.6538 2.3434
F -0.7819 1.9661 1.2921
F -1.5527 3.3012 3.3947
F 0.7819 1.9661 3.3947
F -0.7708 4.6555 1.2921
F 2.0936 0.3059 5.9788
F 1.3117 1.6602 8.0814
F 1.5527 3.3012 1.2921
F 0.7708 4.6555 3.3947
F 3.6353 0.3059 8.0814
F 2.0825 2.9953 5.9788
F 4.4172 1.6602 5.9788
F 3.6464 2.9953 8.0814